[1]
Material: AcPaCu2
Method: DFT, PBE
State: relaxed

Lattice parameters (Å, degrees): 8.4889 8.4889 8.4889 25.76 25.76 25.76
Last column: nearest neighbours and their distance in Å.
Fractional positions:
Ac (0.0000, 0.0000, 0.0000)  6 Cu 3.16
Pa (0.5000, 0.5000, 0.5000)  6 Cu 2.84
Cu (0.2406, 0.2406, 0.2406)  3 Pa 2.84, 3 Ac 3.16
Cu (0.7594, 0.7594, 0.7594)  3 Pa 2.84, 3 Ac 3.16

Results
Theoretical density   9.5 g/cm³
Total magnetic moment   0.54 μB/f.u.
Formation energy   0.32 eV/atom
Volume   101.7 Å³/cell

[2]
Material: AcPaCu10
Method: DFT, PBE
State: relaxed

Lattice parameters (Å, degrees): 4.0945 5.1847 8.9718 90.00 90.00 90.00
Last column: nearest neighbours and their distance in Å.
Fractional positions:
Ac (0.0000, 0.0000, 0.0000)  18 Cu 3.05-3.40
Pa (0.0000, 0.5000, 0.5000)  14 Cu 2.88-3.20
Cu (0.0000, 0.0000, 0.3430)  6 Cu 2.49-2.55
Cu (0.0000, 0.0000, 0.6570)  6 Cu 2.49-2.55
Cu (0.0000, 0.5000, 0.1791)  6 Cu 2.52-2.60
Cu (0.0000, 0.5000, 0.8209)  6 Cu 2.52-2.60
Cu (0.5000, 0.0000, 0.5000)  8 Cu 2.49-2.51
Cu (0.5000, 0.2580, 0.2637)  8 Cu 2.51-2.68
Cu (0.5000, 0.2580, 0.7363)  8 Cu 2.51-2.68
Cu (0.5000, 0.5000, 0.0000)  8 Cu 2.60-2.68
Cu (0.5000, 0.7420, 0.2637)  8 Cu 2.51-2.68
Cu (0.5000, 0.7420, 0.7363)  8 Cu 2.51-2.68

Results
Theoretical density   9.5 g/cm³
Total magnetic moment   0.82 μB/f.u.
Formation energy   -0.04 eV/atom
Volume   190.5 Å³/cell

[3]
Material: AcPaCu
Method: DFT, PBE
State: relaxed

Lattice parameters (Å, degrees): 8.6595 8.6595 5.3582 90.00 90.00 156.88
Last column: nearest neighbours and their distance in Å.
Fractional positions:
Ac (0.0733, 0.9267, 0.7500)  6 Cu 3.24-3.48, 2 Ac 3.47, 2 Pa 3.61
Ac (0.9267, 0.0733, 0.2500)  6 Cu 3.24-3.48, 2 Ac 3.47, 2 Pa 3.61
Pa (0.2399, 0.7601, 0.2500)  2 Cu 2.88, 4 Pa 3.21
Pa (0.7601, 0.2399, 0.7500)  2 Cu 2.88, 4 Pa 3.21
Cu (0.3954, 0.6046, 0.7500)  2 Pa 2.88
Cu (0.6046, 0.3954, 0.2500)  2 Pa 2.88

Results
Theoretical density   11.0 g/cm³
Total magnetic moment   0.00 μB/f.u.
Formation energy   0.12 eV/atom
Volume   157.7 Å³/cell

[4]
Material: AcPaCuRu
Method: DFT, PBE
State: relaxed

Lattice parameters (Å, degrees): 5.0489 5.0489 5.0489 60.00 60.00 60.00
Last column: nearest neighbours and their distance in Å.
Fractional positions:
Ac (0.0000, 0.0000, 0.0000)  4 Ru 3.09, 4 Cu 3.09
Pa (0.5000, 0.5000, 0.5000)  4 Ru 3.09, 4 Cu 3.09
Cu (0.2500, 0.2500, 0.2500)  4 Ac 3.09, 4 Pa 3.09
Ru (0.7500, 0.7500, 0.7500)  4 Ac 3.09, 4 Pa 3.09

Results
Theoretical density   11.4 g/cm³
Total magnetic moment   0.00 μB/f.u.
Formation energy   0.07 eV/atom
Volume   91.0 Å³/cell

[5]
Material: Ac2PaCuS6
Method: DFT, PBE
State: relaxed

Lattice parameters (Å, degrees): 6.9459 6.9459 7.1038 117.81 117.81 58.81
Last column: nearest neighbours and their distance in Å.
Fractional positions:
Ac (0.2367, 0.2367, 0.2087)  5 S 2.96-3.05
Ac (0.7633, 0.7633, 0.7913)  5 S 2.96-3.05
Pa (0.0000, 0.0000, 0.5000)  6 S 2.62-2.64
Cu (0.5000, 0.5000, 0.0000)  4 S 2.44
S (0.1980, 0.6820, 0.1822)  1 Cu 2.44, 1 Pa 2.64
S (0.2486, 0.2486, 0.6353)  1 Pa 2.62, 1 Cu 2.74
S (0.3180, 0.8020, 0.8178)  1 Cu 2.44, 1 Pa 2.64
S (0.6820, 0.1980, 0.1822)  1 Cu 2.44, 1 Pa 2.64
S (0.7514, 0.7514, 0.3647)  1 Pa 2.62, 1 Cu 2.74
S (0.8020, 0.3180, 0.8178)  1 Cu 2.44, 1 Pa 2.64

Results
Theoretical density   6.3 g/cm³
Total magnetic moment   0.00 μB/f.u.
E_form (uncorrected)   -16.07 eV/f.u.
Volume   247.6 Å³/cell

[6]
Material: AcPa2CuS8
Method: DFT, PBE
State: relaxed

Lattice parameters (Å, degrees): 5.9532 5.9532 8.0521 90.00 90.00 120.00
Last column: nearest neighbours and their distance in Å.
Fractional positions:
Ac (0.0000, 0.0000, 0.0000)  12 S 3.17-3.48
Pa (0.3333, 0.6667, 0.3781)  1 S 2.52
Pa (0.6667, 0.3333, 0.6219)  1 S 2.52
Cu (0.0000, 0.0000, 0.5000)  6 S 2.29
S (0.1745, 0.3489, 0.6752)  1 Cu 2.29
S (0.1745, 0.8255, 0.6752)  1 Cu 2.29
S (0.3333, 0.6667, 0.0656)  1 Pa 2.52
S (0.3489, 0.1745, 0.3248)  1 Cu 2.29
S (0.6511, 0.8255, 0.6752)  1 Cu 2.29
S (0.6667, 0.3333, 0.9344)  1 Pa 2.52
S (0.8255, 0.1745, 0.3248)  1 Cu 2.29
S (0.8255, 0.6511, 0.3248)  1 Cu 2.29

Results
Theoretical density   6.8 g/cm³
Total magnetic moment   0.00 μB/f.u.
E_form (uncorrected)   -13.88 eV/f.u.
Volume   247.1 Å³/cell

[7]
Material: Ac2PaCuSe6
Method: DFT, PBE
State: relaxed

Lattice parameters (Å, degrees): 7.2792 7.2792 7.4319 118.00 118.00 59.01
Last column: nearest neighbours and their distance in Å.
Fractional positions:
Ac (0.2372, 0.2372, 0.2069)  5 Se 3.09-3.17
Ac (0.7628, 0.7628, 0.7931)  5 Se 3.09-3.17
Pa (0.0000, 0.0000, 0.5000)  6 Se 2.76-2.77
Cu (0.5000, 0.5000, 0.0000)  6 Se 2.55-2.85
Se (0.1981, 0.6796, 0.1808)  1 Cu 2.55, 1 Pa 2.77
Se (0.2501, 0.2501, 0.6340)  1 Pa 2.76, 1 Cu 2.85, 1 Ac 3.09
Se (0.3204, 0.8019, 0.8192)  1 Cu 2.55, 1 Pa 2.77
Se (0.6796, 0.1981, 0.1808)  1 Cu 2.55, 1 Pa 2.77
Se (0.7499, 0.7499, 0.3660)  1 Pa 2.76, 1 Cu 2.85, 1 Ac 3.09
Se (0.8019, 0.3204, 0.8192)  1 Cu 2.55, 1 Pa 2.77

Results
Theoretical density   7.1 g/cm³
Total magnetic moment   0.00 μB/f.u.
E_form (uncorrected)   -14.18 eV/f.u.
Volume   284.2 Å³/cell

[8]
Material: AcCuPb2
Method: DFT, PBE
State: relaxed

Lattice parameters (Å, degrees): 10.0642 10.0642 10.0642 21.14 21.14 21.14
Last column: nearest neighbours and their distance in Å.
Fractional positions:
Ac (0.0000, 0.0000, 0.0000)  6 Ac 3.69, 6 Pb 3.70
Cu (0.5000, 0.5000, 0.5000)  6 Pb 2.85
Pb (0.2309, 0.2309, 0.2309)  3 Cu 2.85
Pb (0.7691, 0.7691, 0.7691)  3 Cu 2.85

Results
Theoretical density   10.1 g/cm³
Total magnetic moment   0.00 μB/f.u.
Formation energy   0.08 eV/atom
Energy above the lowest structure with this stoichiometry   0.229 eV per atom
Volume   116.1 Å³/cell

[9]
Material: Ac4CuPb2
Method: DFT, PBE
State: relaxed

Lattice parameters (Å, degrees): 7.2965 7.4421 9.5815 90.00 101.97 90.00
Last column: nearest neighbours and their distance in Å.
Fractional positions:
Ac (0.1674, 0.0044, 0.2848)  1 Cu 3.03
Ac (0.1674, 0.4956, 0.2848)  1 Cu 3.03
Ac (0.3212, 0.7500, 0.6596)  1 Cu 3.06, 1 Pb 3.40
Ac (0.3263, 0.2500, 0.9321)  2 Pb 3.37-3.60, 1 Cu 3.70
Ac (0.6737, 0.7500, 0.0679)  2 Pb 3.37-3.60, 1 Cu 3.70
Ac (0.6788, 0.2500, 0.3404)  1 Cu 3.06, 1 Pb 3.40
Ac (0.8326, 0.5044, 0.7152)  1 Cu 3.03
Ac (0.8326, 0.9956, 0.7152)  1 Cu 3.03
Cu (0.0475, 0.2500, 0.5620)  1 Pb 2.64
Cu (0.9525, 0.7500, 0.4380)  1 Pb 2.64
Pb (0.1702, 0.7500, 0.9720)  6 Ac 3.40-3.60
Pb (0.4166, 0.2500, 0.6007)  1 Cu 2.64
Pb (0.5834, 0.7500, 0.3993)  1 Cu 2.64
Pb (0.8298, 0.2500, 0.0280)  6 Ac 3.40-3.60

Results
Theoretical density   9.0 g/cm³
Total magnetic moment   0.00 μB/f.u.
Formation energy   -0.32 eV/atom
Energy above the lowest structure with this stoichiometry   0.000 eV per atom
Volume   509.0 Å³/cell

[10]
Material: Ac3Cu2Pb
Method: DFT, PBE
State: relaxed

Lattice parameters (Å, degrees): 3.7853 3.7853 12.6437 90.00 90.00 90.00
Last column: nearest neighbours and their distance in Å.
Fractional positions:
Ac (0.0000, 0.0000, 0.0000)  8 Cu 3.28
Ac (0.0000, 0.0000, 0.3032)  4 Cu 3.31, 4 Pb 3.65
Ac (0.0000, 0.0000, 0.6968)  4 Cu 3.31, 4 Pb 3.65
Cu (0.5000, 0.5000, 0.1498)  8 Ac 3.28-3.31
Cu (0.5000, 0.5000, 0.8502)  8 Ac 3.28-3.31
Pb (0.5000, 0.5000, 0.5000)  8 Ac 3.65, 4 Pb 3.79

Results
Theoretical density   9.3 g/cm³
Total magnetic moment   0.00 μB/f.u.
Formation energy   -0.20 eV/atom
Volume   181.2 Å³/cell

[11]
Material: AcCu2Pb
Method: DFT, PBE
State: relaxed

Lattice parameters (Å, degrees): 4.9672 4.9672 3.9158 90.00 90.00 90.00
Last column: nearest neighbours and their distance in Å.
Fractional positions:
Ac (0.0000, 0.0000, 0.0000)  8 Cu 3.16, 4 Pb 3.51
Cu (0.0000, 0.5000, 0.5000)  4 Pb 3.16, 4 Ac 3.16, 4 Cu 3.51
Cu (0.5000, 0.0000, 0.5000)  4 Pb 3.16, 4 Ac 3.16, 4 Cu 3.51
Pb (0.5000, 0.5000, 0.0000)  8 Cu 3.16, 4 Ac 3.51

Results
Theoretical density   9.6 g/cm³
Total magnetic moment   0.00 μB/f.u.
Formation energy   0.03 eV/atom
Volume   96.6 Å³/cell

[12]
Material: AcCuPb3
Method: DFT, PBE
State: relaxed

Lattice parameters (Å, degrees): 5.3583 5.3583 5.3583 90.00 90.00 90.00
Last column: nearest neighbours and their distance in Å.
Fractional positions:
Ac (0.0000, 0.0000, 0.0000)  12 Pb 3.79
Cu (0.5000, 0.5000, 0.5000)  6 Pb 2.68
Pb (0.0000, 0.5000, 0.5000)  2 Cu 2.68
Pb (0.5000, 0.0000, 0.5000)  2 Cu 2.68
Pb (0.5000, 0.5000, 0.0000)  2 Cu 2.68

Results
Theoretical density   9.8 g/cm³
Total magnetic moment   0.00 μB/f.u.
Formation energy   -0.06 eV/atom
Volume   153.8 Å³/cell